# HoBi PBE-GGA relaxed
data_HoBi
_space_group_name_H-M_alt 'P 63/m m c'
_space_group_IT_number 194
_space_group_name_Hall '-P 6c 2c'
_cell_length_a 4.4421
_cell_length_b 4.4421
_cell_length_c 7.5432
_cell_angle_alpha 90.00
_cell_angle_beta 90.00
_cell_angle_gamma 120.00
loop_
_atom_site_label
_atom_site_type_symbol
_atom_site_fract_x
_atom_site_fract_y
_atom_site_fract_z
Ho1 Ho 0.0000 0.0000 0.0000
Bi1 Bi 0.3333 0.6667 0.2500
# E_form: -0.791 eV/atom


# NbIrPd2 PBE-GGA relaxed
data_NbIrPd2
_space_group_name_H-M_alt 'I -4 2 d'
_space_group_IT_number 122
_space_group_name_Hall 'I -4 2bw'
_cell_length_a 5.726
_cell_length_b 5.726
_cell_length_c 11.324
_cell_angle_alpha 90.00
_cell_angle_beta 90.00
_cell_angle_gamma 90.00
loop_
_atom_site_label
_atom_site_type_symbol
_atom_site_fract_x
_atom_site_fract_y
_atom_site_fract_z
Nb1 Nb 0.000 0.000 0.000
Ir1 Ir 0.000 0.000 0.500
Pd1 Pd 0.241 0.250 0.625
# ΔE to the lowest computed polymorph: 142.1 kJ/mol of atoms
# E_form: 1.081 eV/atom